The following is a DFT calculation (PBE-GGA) of a geometry-optimized Nd4CoCl5 structure.

```
Nd4CoCl5
1.0
-1.258 -3.086 -2.172
-2.321 -3.997 7.024
-6.789 6.482 -1.633
Nd Cl Co
4 5 1
Direct
0.347 0.893 0.694 Nd
0.998 0.218 0.995 Nd
0.653 0.107 0.306 Nd
0.002 0.782 0.005 Nd
0.173 0.870 0.346 Cl
0.835 0.648 0.671 Cl
0.165 0.352 0.329 Cl
0.500 0.500 0.000 Cl
0.827 0.130 0.654 Cl
0.500 0.000 0.000 Co
```

Its formation energy (no corrections) is -1583 meV/atom. The symmetry is C2/m (12). As for the energy above the most stable polymorph in this dataset: 0 meV per atom. As for the total energy: -5.124 eV/atom.

---

The following is a DFT calculation (PBE-GGA) of a geometry-optimized Nd5Co2Cl2 structure.

```
Nd5Co2Cl2
1.0
7.307 0.000 2.652
0.000 7.822 0.000
1.042 0.000 8.520
Nd Cl Co
10 4 4
Direct
0.538 0.848 0.235 Nd
0.500 0.500 0.000 Nd
0.273 0.652 0.765 Nd
0.773 0.848 0.765 Nd
0.962 0.348 0.765 Nd
0.727 0.348 0.235 Nd
0.000 0.000 0.000 Nd
0.038 0.652 0.235 Nd
0.462 0.152 0.765 Nd
0.227 0.152 0.235 Nd
0.298 0.500 0.405 Cl
0.702 0.500 0.595 Cl
0.798 0.000 0.405 Cl
0.202 0.000 0.595 Cl
0.641 0.137 0.000 Co
0.141 0.363 0.000 Co
0.859 0.637 0.000 Co
0.359 0.863 0.000 Co
```

Its formation energy (no corrections) is -627 meV/atom. The symmetry is Cmce (64). As for the total energy: -5.265 eV/atom.

---

The following is a DFT calculation (PBE-GGA) of a geometry-optimized Nd7CoCl12 structure.

```
Nd7CoCl12
1.0
-5.311 -3.901 6.415
-4.599 -0.656 -7.936
7.424 -5.361 -0.844
Cl Nd Co
12 7 1
Direct
0.542 0.826 0.627 Cl
0.925 0.320 0.790 Cl
0.373 0.458 0.174 Cl
0.075 0.680 0.210 Cl
0.210 0.075 0.680 Cl
0.174 0.373 0.458 Cl
0.627 0.542 0.826 Cl
0.320 0.790 0.925 Cl
0.790 0.925 0.320 Cl
0.680 0.210 0.075 Cl
0.826 0.627 0.542 Cl
0.458 0.174 0.373 Cl
0.500 0.500 0.500 Nd
0.986 0.690 0.892 Nd
0.892 0.986 0.690 Nd
0.108 0.014 0.310 Nd
0.014 0.310 0.108 Nd
0.310 0.108 0.014 Nd
0.690 0.892 0.986 Nd
0.000 0.000 0.000 Co
```

Its formation energy (no corrections) is -1879 meV/atom. The symmetry is R-3 (148). As for the total energy: -5.011 eV/atom.

---

The following is a DFT calculation (PBE-GGA) of a geometry-optimized Nd2CoCl structure.

```
Nd2CoCl
1.0
3.941 0.000 0.000
-1.970 3.413 0.000
0.000 0.000 15.218
Nd Co Cl
4 2 2
Direct
0.667 0.333 0.900 Nd
0.333 0.667 0.400 Nd
0.333 0.667 0.100 Nd
0.667 0.333 0.600 Nd
0.000 0.000 0.000 Co
0.000 0.000 0.500 Co
0.333 0.667 0.750 Cl
0.667 0.333 0.250 Cl
```

Its formation energy (no corrections) is -825 meV/atom. The symmetry is P6_3/mmc (194). As for the energy above the most stable polymorph in this dataset: 2 meV per atom. As for the total energy: -5.447 eV/atom.

---

The following is a DFT calculation (PBE-GGA) of a geometry-optimized Nd8Co3NiCl4 structure.

```
Nd8Co3NiCl4
1.0
7.956 0.000 0.000
0.000 8.813 0.589
-3.978 -3.971 5.633
Nd Co Cl Ni
8 3 4 1
Direct
0.734 0.702 0.468 Nd
0.730 0.701 0.966 Nd
0.270 0.299 0.034 Nd
0.763 0.299 0.526 Nd
0.237 0.701 0.474 Nd
0.764 0.299 0.034 Nd
0.236 0.701 0.966 Nd
0.266 0.298 0.532 Nd
0.500 0.500 0.000 Co
0.000 0.500 0.500 Co
0.500 0.500 0.500 Co
0.000 0.000 0.500 Cl
0.000 0.000 0.000 Cl
0.500 0.000 0.000 Cl
0.500 0.000 0.500 Cl
0.000 0.500 0.000 Ni
```

Its formation energy (no corrections) is -869 meV/atom. The symmetry is C2/m (12). As for the total energy: -5.408 eV/atom.

---

The following is a DFT calculation (PBE-GGA) of a geometry-optimized Nd8CoNi3Cl4 structure.

```
Nd8CoNi3Cl4
1.0
-0.295 -4.524 6.654
7.172 4.071 3.085
-6.278 4.623 -2.007
Nd Ni Cl Co
8 3 4 1
Direct
0.231 0.702 0.971 Nd
0.734 0.702 0.468 Nd
0.231 0.702 0.463 Nd
0.261 0.298 0.029 Nd
0.769 0.298 0.537 Nd
0.739 0.702 0.971 Nd
0.266 0.298 0.532 Nd
0.769 0.298 0.029 Nd
0.000 0.500 0.500 Ni
0.500 0.500 0.500 Ni
0.500 0.500 0.000 Ni
0.000 0.000 0.500 Cl
0.500 0.000 0.000 Cl
0.000 0.000 0.000 Cl
0.500 0.000 0.500 Cl
0.000 0.500 0.000 Co
```

Its formation energy (no corrections) is -890 meV/atom. The symmetry is R-3m (166). As for the total energy: -5.264 eV/atom.

---

The following is a DFT calculation (PBE-GGA) of a geometry-optimized Nd6CoNi2Cl3 structure.

```
Nd6CoNi2Cl3
1.0
6.964 -0.002 0.001
-3.482 6.031 0.001
-1.161 -2.010 7.493
Ni Nd Cl Co
2 6 3 1
Direct
0.333 0.667 0.000 Ni
0.667 0.333 0.000 Ni
0.067 0.393 0.202 Nd
0.741 0.741 0.201 Nd
0.607 0.933 0.798 Nd
0.259 0.259 0.799 Nd
0.393 0.067 0.202 Nd
0.933 0.607 0.798 Nd
0.165 0.835 0.500 Cl
0.500 0.500 0.500 Cl
0.835 0.165 0.500 Cl
0.000 0.000 0.000 Co
```

Its formation energy (no corrections) is -888 meV/atom. The symmetry is C2/m (12). As for the total energy: -5.289 eV/atom.